Entry 1:
DFT (meta-GGA SCAN) results for CdIn at its PBEsol-relaxed geometry.

abc: 3.129 5.470 6.339
angles: 115.56 104.29 90.00
Fractional coordinates of all 4 atoms:
In: 0.382 0.132 0.764
In: 0.618 0.868 0.236
Cd: 0.868 0.618 0.735
Cd: 0.132 0.382 0.265

Properties
Electronic total energy in eV/atom: -31.8176
V in Å³ per atom: 23.5
ΔE_f in meV/atom: 83

---

Entry 2:
DFT (meta-GGA SCAN) results for Hf2NbC at its PBEsol-relaxed geometry.

abc: 4.376 6.052 6.052
angles: 82.49 68.80 68.80
Fractional coordinates of all 8 atoms:
Hf: 0.255 0.370 0.870
Hf: 0.495 0.630 0.130
Hf: 0.875 0.870 0.630
Hf: 0.375 0.130 0.370
Nb: 0.750 0.500 0.500
Nb: 0.000 0.000 0.000
C: 0.250 0.500 0.500
C: 0.500 0.000 0.000

Properties
Electronic total energy in eV/atom: -42.0597
V in Å³ per atom: 17.4
ΔE_f in meV/atom: 84

---

Entry 3:
DFT (meta-GGA SCAN) results for ZrSn2WS at its PBEsol-relaxed geometry.

abc: 4.805 5.432 5.432
angles: 90.00 90.00 90.00
Fractional coordinates of all 5 atoms:
W: 0.500 0.000 0.000
Sn: 0.000 0.000 0.500
Sn: 0.000 0.500 0.000
Zr: 0.000 0.000 0.000
S: 0.500 0.500 0.500

Properties
Formation energy (no corrections) in eV/atom: 1.556
Electronic total energy in eV/atom: -34.8155
V in Å³ per atom: 28.4

---

Entry 4:
DFT (meta-GGA SCAN) results for Be2AgCl at its PBEsol-relaxed geometry.

abc: 3.584 3.584 5.352
angles: 109.56 109.56 90.00
Fractional coordinates of all 4 atoms:
Cl: 0.500 0.500 0.000
Be: 0.250 0.750 0.500
Be: 0.750 0.250 0.500
Ag: 0.000 0.000 0.000

Properties
Formation energy (no corrections) in eV/atom: 0.739
Electronic total energy in eV/atom: -11.2741
V in Å³ per atom: 15.1

---

Entry 5:
DFT (meta-GGA SCAN) results for Eu2CdSn at its PBEsol-relaxed geometry.

abc: 5.429 5.429 5.429
angles: 60.00 60.00 60.00
Fractional coordinates of all 4 atoms:
Sn: 0.000 0.000 0.000
Eu: 0.250 0.250 0.250
Eu: 0.750 0.750 0.750
Cd: 0.500 0.500 0.500

Properties
Electronic total energy in eV/atom: -44.1076
V in Å³ per atom: 28.3
ΔE_f in meV/atom: -668

---

Entry 6:
DFT (meta-GGA SCAN) results for Cs3BO3 at its PBEsol-relaxed geometry.

abc: 10.357 10.889 10.951
angles: 90.00 90.00 90.00
Fractional coordinates of all 56 atoms:
O: 0.382 0.508 0.304
O: 0.882 0.303 0.991
O: 0.882 0.697 0.009
O: 0.500 0.622 0.838
O: 0.382 0.492 0.696
O: 0.618 0.492 0.696
O: 0.618 0.992 0.804
O: 0.000 0.836 0.878
O: 0.118 0.803 0.509
O: 0.500 0.878 0.338
O: 0.500 0.122 0.662
O: 0.618 0.008 0.196
O: 0.000 0.336 0.622
O: 0.618 0.508 0.304
O: 0.882 0.197 0.491
O: 0.382 0.992 0.804
O: 0.382 0.008 0.196
O: 0.000 0.664 0.378
O: 0.500 0.378 0.162
O: 0.118 0.697 0.009
O: 0.118 0.303 0.991
O: 0.882 0.803 0.509
O: 0.000 0.164 0.122
O: 0.118 0.197 0.491
Cs: 0.500 0.332 0.515
Cs: 0.685 0.500 0.000
Cs: 0.315 0.500 0.000
Cs: 0.000 0.519 0.169
Cs: 0.685 0.000 0.500
Cs: 0.750 0.247 0.743
Cs: 0.000 0.019 0.331
Cs: 0.250 0.747 0.757
Cs: 0.250 0.253 0.243
Cs: 0.750 0.747 0.757
Cs: 0.000 0.981 0.669
Cs: 0.750 0.253 0.243
Cs: 0.816 0.000 0.000
Cs: 0.750 0.753 0.257
Cs: 0.500 0.168 0.015
Cs: 0.816 0.500 0.500
Cs: 0.500 0.668 0.485
Cs: 0.315 0.000 0.500
Cs: 0.500 0.832 0.985
Cs: 0.184 0.500 0.500
Cs: 0.000 0.481 0.831
Cs: 0.184 0.000 0.000
Cs: 0.250 0.247 0.743
Cs: 0.250 0.753 0.257
B: 0.500 0.534 0.744
B: 0.000 0.744 0.967
B: 0.000 0.256 0.033
B: 0.500 0.966 0.244
B: 0.500 0.034 0.756
B: 0.000 0.756 0.467
B: 0.500 0.466 0.256
B: 0.000 0.244 0.533

Properties
Formation energy (no corrections) in eV/atom: -2.071
Electronic total energy in eV/atom: -22.0073
V in Å³ per atom: 22.1

---

Entry 7:
DFT (meta-GGA SCAN) results for Li5Mn2CoO8 at its PBEsol-relaxed geometry.

abc: 4.939 5.644 5.595
angles: 120.29 105.92 90.00
Fractional coordinates of all 16 atoms:
Co: 0.000 0.000 0.000
O: 0.773 0.636 0.748
O: 0.219 0.869 0.739
O: 0.775 0.637 0.273
O: 0.781 0.131 0.261
O: 0.773 0.112 0.748
O: 0.227 0.364 0.252
O: 0.227 0.888 0.252
O: 0.225 0.363 0.727
Li: 0.495 0.252 0.505
Li: 0.500 0.265 0.000
Li: 0.500 0.735 0.000
Li: 0.000 0.500 0.000
Li: 0.505 0.748 0.495
Mn: 0.000 0.500 0.500
Mn: 0.000 0.000 0.500

Properties
Formation energy (no corrections) in eV/atom: -2.177
Electronic total energy in eV/atom: -9.4024
V in Å³ per atom: 8.0

---

Entry 8:
DFT (meta-GGA SCAN) results for MnCrFe2 at its PBEsol-relaxed geometry.

abc: 2.384 2.384 7.919
angles: 90.00 90.00 107.84
Fractional coordinates of all 4 atoms:
Fe: 0.000 0.000 0.250
Fe: 0.000 0.000 0.750
Mn: 0.500 0.500 0.500
Cr: 0.500 0.500 0.000

Properties
Electronic total energy in eV/atom: -18.0964
V in Å³ per atom: 10.7
ΔE_f in meV/atom: 128

---

Entry 9:
DFT (meta-GGA SCAN) results for KBeCl at its PBEsol-relaxed geometry.

abc: 5.187 5.187 5.187
angles: 60.00 60.00 60.00
Fractional coordinates of all 3 atoms:
Cl: 0.500 0.500 0.500
K: 0.750 0.750 0.750
Be: 0.000 0.000 0.000

Properties
Formation energy (no corrections) in eV/atom: -0.048
Electronic total energy in eV/atom: -6.9345
V in Å³ per atom: 32.9

---

Entry 10:
DFT (meta-GGA SCAN) results for NaTe2Pd at its PBEsol-relaxed geometry.

abc: 3.358 3.358 10.157
angles: 80.49 80.49 60.00
Fractional coordinates of all 4 atoms:
Te: 0.416 0.416 0.753
Te: 0.584 0.584 0.247
Pd: 0.500 0.500 0.500
Na: 0.000 0.000 0.000

Properties
Formation energy (no corrections) in eV/atom: -0.086
Electronic total energy in eV/atom: -27.9592
V in Å³ per atom: 24.3

---

Entry 11:
DFT (meta-GGA SCAN) results for TiCrBr2 at its PBEsol-relaxed geometry.

abc: 3.312 3.312 9.018
angles: 79.42 79.42 60.00
Fractional coordinates of all 4 atoms:
Br: 0.900 0.900 0.301
Br: 0.100 0.100 0.699
Ti: 0.500 0.500 0.500
Cr: 0.000 0.000 0.000

Properties
Formation energy (no corrections) in eV/atom: -0.299
Electronic total energy in eV/atom: -18.6323
V in Å³ per atom: 20.9

---

Entry 12:
DFT (meta-GGA SCAN) results for ScTcSeBr2 at its PBEsol-relaxed geometry.

abc: 5.113 5.113 5.166
angles: 90.00 90.00 90.00
Fractional coordinates of all 5 atoms:
Sc: 0.000 0.000 0.000
Br: 0.500 0.000 0.000
Br: 0.000 0.500 0.000
Se: 0.000 0.000 0.500
Tc: 0.500 0.500 0.500

Properties
Formation energy (no corrections) in eV/atom: -0.250
Electronic total energy in eV/atom: -21.9087
V in Å³ per atom: 27.0

---

Entry 13:
DFT (meta-GGA SCAN) results for KZnP2Cl at its PBEsol-relaxed geometry.

abc: 5.591 6.644 6.644
angles: 90.00 90.00 90.00
Fractional coordinates of all 5 atoms:
P: 0.000 0.500 0.000
P: 0.000 0.000 0.500
Cl: 0.500 0.000 0.000
K: 0.000 0.000 0.000
Zn: 0.500 0.500 0.500

Properties
Formation energy (no corrections) in eV/atom: 0.947
Electronic total energy in eV/atom: -9.1770
V in Å³ per atom: 49.4

---

Entry 14:
DFT (meta-GGA SCAN) results for Eu3Ga4Ni4 at its PBEsol-relaxed geometry.

abc: 6.357 6.357 6.357
angles: 109.47 109.47 109.47
Fractional coordinates of all 11 atoms:
Eu: 0.500 0.500 0.000
Eu: 0.000 0.500 0.500
Eu: 0.500 0.000 0.500
Ni: 0.759 0.759 0.759
Ni: 0.241 0.000 0.000
Ni: 0.000 0.241 0.000
Ni: 0.000 0.000 0.241
Ga: 0.395 0.395 0.395
Ga: 0.000 0.605 0.000
Ga: 0.000 0.000 0.605
Ga: 0.605 0.000 0.000

Properties
Electronic total energy in eV/atom: -27.0030
V in Å³ per atom: 18.0
ΔE_f in meV/atom: -529

---

Entry 15:
DFT (meta-GGA SCAN) results for SrCd4In at its PBEsol-relaxed geometry.

abc: 5.949 5.949 5.949
angles: 60.00 60.00 60.00
Fractional coordinates of all 6 atoms:
Cd: 0.375 0.375 0.375
Cd: 0.875 0.375 0.375
Cd: 0.375 0.375 0.875
Cd: 0.375 0.875 0.375
Sr: 0.000 0.000 0.000
In: 0.750 0.750 0.750

Properties
Electronic total energy in eV/atom: -29.7360
V in Å³ per atom: 24.8
ΔE_f in meV/atom: -183

---

Entry 16:
DFT (meta-GGA SCAN) results for BaCdTe2 at its PBEsol-relaxed geometry.

abc: 7.216 7.216 7.216
angles: 106.94 110.75 110.75
Fractional coordinates of all 8 atoms:
Te: 0.058 0.875 0.433
Te: 0.942 0.375 0.817
Te: 0.442 0.567 0.625
Te: 0.558 0.183 0.125
Cd: 0.500 0.250 0.750
Cd: 0.000 0.500 0.500
Ba: 0.500 0.750 0.250
Ba: 0.000 0.000 0.000

Properties
Formation energy (no corrections) in eV/atom: -1.121
Electronic total energy in eV/atom: -37.2378
V in Å³ per atom: 36.1

---

Entry 17:
DFT (meta-GGA SCAN) results for ReW3 at its PBEsol-relaxed geometry.

abc: 2.718 2.718 8.864
angles: 90.00 90.00 109.64
Fractional coordinates of all 4 atoms:
W: 0.000 0.000 0.500
W: 0.500 0.500 0.248
W: 0.500 0.500 0.752
Re: 0.000 0.000 0.000

Properties
Electronic total energy in eV/atom: -69.9957
V in Å³ per atom: 15.4
ΔE_f in meV/atom: 45

---

Entry 18:
DFT (meta-GGA SCAN) results for SrY2Be at its PBEsol-relaxed geometry.

abc: 3.550 3.550 9.028
angles: 90.00 90.00 90.00
Fractional coordinates of all 4 atoms:
Be: 0.500 0.500 0.462
Sr: 0.000 0.000 0.693
Y: 0.000 0.000 0.308
Y: 0.500 0.500 0.038

Properties
Electronic total energy in eV/atom: -20.3767
V in Å³ per atom: 28.4
ΔE_f in meV/atom: 202

---

Entry 19:
DFT (meta-GGA SCAN) results for LiZr4Se at its PBEsol-relaxed geometry.

abc: 5.703 5.703 5.703
angles: 60.00 60.00 60.00
Fractional coordinates of all 6 atoms:
Se: 0.000 0.000 0.000
Zr: 0.377 0.377 0.868
Zr: 0.868 0.377 0.377
Zr: 0.377 0.377 0.377
Zr: 0.377 0.868 0.377
Li: 0.750 0.750 0.750

Properties
Formation energy (no corrections) in eV/atom: 0.466
Electronic total energy in eV/atom: -23.7444
V in Å³ per atom: 21.9

---

Entry 20:
DFT (meta-GGA SCAN) results for KCd4 at its PBEsol-relaxed geometry.

abc: 8.807 8.807 8.807
angles: 109.47 109.47 109.47
Fractional coordinates of all 20 atoms:
Cd: 0.000 0.648 0.648
Cd: 0.648 0.648 0.000
Cd: 0.500 0.250 0.750
Cd: 0.250 0.500 0.750
Cd: 0.250 0.750 0.500
Cd: 0.000 0.209 0.000
Cd: 0.750 0.500 0.250
Cd: 0.791 0.791 0.791
Cd: 0.500 0.750 0.250
Cd: 0.000 0.352 0.352
Cd: 0.209 0.000 0.000
Cd: 0.000 0.000 0.209
Cd: 0.352 0.352 0.000
Cd: 0.750 0.250 0.500
Cd: 0.648 0.000 0.648
Cd: 0.352 0.000 0.352
K: 0.570 0.000 0.000
K: 0.000 0.570 0.000
K: 0.000 0.000 0.570
K: 0.430 0.430 0.430

Properties
Electronic total energy in eV/atom: -26.0297
V in Å³ per atom: 26.3
ΔE_f in meV/atom: -32